Density functional theory data (PBE) for Tm2SnSe after structural relaxation.

Cell: 13.2719 5.9530 5.9527 Å, 90.00 116.64 90.00°
Fractional positions:
Tm  0.1208  0.0000  0.3708
Tm  0.1292  0.5000  0.8797
Tm  0.3708  0.0000  0.1203
Tm  0.3792  0.5000  0.6292
Tm  0.6208  0.5000  0.3708
Tm  0.6292  0.0000  0.8797
Tm  0.8708  0.5000  0.1203
Tm  0.8792  0.0000  0.6292
Sn  0.1250  0.5000  0.3755
Sn  0.3750  0.0000  0.6245
Sn  0.6250  0.0000  0.3755
Sn  0.8750  0.5000  0.6245
Se  0.1250  0.0000  0.8751
Se  0.3750  0.5000  0.1249
Se  0.6250  0.5000  0.8751
Se  0.8750  0.0000  0.1249

ΔE_f (raw)	-27.31	kcal/mol of atoms
relative energy among the computed polymorphs	0	kJ/mol of formula units
raw total energy	-84.67	eV/cell

=====

Density functional theory data (PBE) for Tm8SnSe6 after structural relaxation.

Cell: 10.4277 10.4277 3.9553 Å, 90.00 90.00 120.00°
Fractional positions:
Tm  0.0358  0.7182  0.2509
Tm  0.2818  0.3176  0.2509
Tm  0.3176  0.0358  0.7491
Tm  0.3333  0.6667  0.7490
Tm  0.6667  0.3333  0.2510
Tm  0.6824  0.9642  0.2509
Tm  0.7182  0.6824  0.7491
Tm  0.9642  0.2818  0.7491
Sn  0.0000  0.0000  0.5000
Se  0.1308  0.4831  0.2518
Se  0.3523  0.8692  0.2518
Se  0.4831  0.3523  0.7482
Se  0.5169  0.6477  0.2518
Se  0.6477  0.1308  0.7482
Se  0.8692  0.5169  0.7482

ΔE_f (raw)	-29.10	kcal/mol of atoms
raw total energy	-79.61	eV/cell

=====

Density functional theory data (PBE) for Tm2SnSe after structural relaxation.

Cell: 3.7816 3.7816 24.7067 Å, 90.00 90.00 120.00°
Fractional positions:
Tm  0.0000  0.0000  0.0000
Tm  0.0000  0.0000  0.1522
Tm  0.3333  0.6667  0.6667
Tm  0.3333  0.6667  0.8189
Tm  0.6667  0.3333  0.3333
Tm  0.6667  0.3333  0.4856
Sn  0.0000  0.0000  0.5769
Sn  0.3333  0.6667  0.2435
Sn  0.6667  0.3333  0.9102
Se  0.0000  0.0000  0.4084
Se  0.3333  0.6667  0.0751
Se  0.6667  0.3333  0.7418

ΔE_f (raw)	-24.01	kcal/mol of atoms
relative energy among the computed polymorphs	55	kJ/mol of formula units
raw total energy	-61.78	eV/cell

=====

Density functional theory data (PBE) for TmSn2Se4 after structural relaxation.

Cell: 7.1716 7.1716 13.8534 Å, 90.00 90.00 148.05°
Fractional positions:
Tm  0.1167  0.8833  0.7500
Tm  0.8833  0.1167  0.2500
Sn  0.3681  0.6319  0.5685
Sn  0.3681  0.6319  0.9315
Sn  0.6319  0.3681  0.0685
Sn  0.6319  0.3681  0.4315
Se  0.0000  0.0000  0.0000
Se  0.0000  0.0000  0.5000
Se  0.2868  0.7132  0.1268
Se  0.2868  0.7132  0.3732
Se  0.4709  0.5291  0.7500
Se  0.5291  0.4709  0.2500
Se  0.7132  0.2868  0.6268
Se  0.7132  0.2868  0.8732

ΔE_f (raw)	-19.28	kcal/mol of atoms
raw total energy	-64.54	eV/cell